No. 1
Crystalline PrLu3Ta at its relaxed geometry, computed with PBE.

Geometry as POSCAR:
```
PrLu3Ta
1.0
2.745 -7.665 0.000
2.745 7.665 0.000
0.000 0.000 6.646
Pr Lu Ta
2 6 2
Direct
0.095 0.905 0.750 Pr
0.905 0.095 0.250 Pr
0.119 0.881 0.250 Lu
0.320 0.680 0.000 Lu
0.320 0.680 0.500 Lu
0.680 0.320 0.000 Lu
0.680 0.320 0.500 Lu
0.881 0.119 0.750 Lu
0.495 0.505 0.750 Ta
0.505 0.495 0.250 Ta
```

Calculated values
The space group is Cmcm (63). The calculation puts the spin magnetization at 0.05 μB per cell. The calculated formation energy comes out at 0.347 eV/atom. For the total energy, the calculation gives -5.693 eV per atom.

---

No. 2
Crystalline Gd2YSn4Pb3 at its relaxed geometry, computed with PBE.

Geometry as POSCAR:
```
Gd2YSn4Pb3
1.0
2.222 -13.371 0.000
2.222 13.371 0.000
0.000 0.000 4.579
Gd Y Sn Pb
2 1 4 3
Direct
0.191 0.809 0.000 Gd
0.809 0.191 0.000 Gd
0.500 0.500 0.500 Y
0.288 0.712 0.500 Sn
0.403 0.597 0.000 Sn
0.597 0.403 0.000 Sn
0.712 0.288 0.500 Sn
0.000 0.000 0.000 Pb
0.099 0.901 0.500 Pb
0.901 0.099 0.500 Pb
```

Calculated values
The space group is Cmmm (65). The energy relative to the lowest polymorph listed for this composition is 0 meV per atom. The calculation puts the spin magnetization at 0.01 μB per cell. For the total energy, the calculation gives -4.760 eV per atom.

---

No. 3
Crystalline Lu2In2O5 at its relaxed geometry, computed with PBE.

Geometry as POSCAR:
```
Lu2In2O5
1.0
4.001 0.000 0.000
0.000 4.001 0.000
0.000 0.000 8.330
Lu In O
2 2 5
Direct
0.000 0.000 0.246 Lu
0.000 0.000 0.754 Lu
0.500 0.500 0.000 In
0.500 0.500 0.500 In
0.000 0.000 0.500 O
0.000 0.500 0.159 O
0.000 0.500 0.841 O
0.500 0.000 0.159 O
0.500 0.000 0.841 O
```

Calculated values
The space group is P4/mmm (123). The energy relative to the lowest polymorph listed for this composition is 0 meV per atom. The calculation puts the spin magnetization at 0.00 μB per cell. For the total energy, the calculation gives -6.701 eV per atom.

---

No. 4
Crystalline LaGdP2Os2O2 at its relaxed geometry, computed with PBE.

Geometry as POSCAR:
```
LaGdP2Os2O2
1.0
4.035 0.000 0.000
0.000 4.035 0.000
0.000 0.000 8.224
La Gd P Os O
1 1 2 2 2
Direct
0.000 0.000 0.000 La
0.500 0.500 0.282 Gd
0.000 0.000 0.489 P
0.500 0.500 0.784 P
0.000 0.500 0.635 Os
0.500 0.000 0.635 Os
0.000 0.500 0.151 O
0.500 0.000 0.151 O
```

Calculated values
The space group is P4mm (99). The calculation puts the spin magnetization at 0.02 μB per cell. For the total energy, the calculation gives -8.492 eV per atom.

---

No. 5
Crystalline PaPOsO at its relaxed geometry, computed with PBE.

Geometry as POSCAR:
```
PaPOsO
1.0
4.265 0.000 0.000
0.000 4.265 0.000
0.000 0.000 6.748
Pa P Os O
2 2 2 2
Direct
0.250 0.750 0.000 Pa
0.750 0.250 0.000 Pa
0.250 0.250 0.272 P
0.750 0.750 0.728 P
0.250 0.250 0.622 Os
0.750 0.750 0.378 Os
0.250 0.750 0.500 O
0.750 0.250 0.500 O
```

Calculated values
The space group is P4/nmm (129). The energy relative to the lowest polymorph listed for this composition is 1960 meV per atom. The calculation puts the spin magnetization at 1.57 μB per cell. For the total energy, the calculation gives -7.093 eV per atom.

---

No. 6
Crystalline ZrReNO at its relaxed geometry, computed with PBE.

Geometry as POSCAR:
```
ZrReNO
1.0
3.801 0.000 0.000
0.000 3.801 0.000
0.000 0.000 6.947
Zr Re N O
2 2 2 2
Direct
0.250 0.250 0.159 Zr
0.750 0.750 0.841 Zr
0.250 0.750 0.500 Re
0.750 0.250 0.500 Re
0.250 0.250 0.636 N
0.750 0.750 0.364 N
0.250 0.750 0.000 O
0.750 0.250 0.000 O
```

Calculated values
The space group is P4/nmm (129). The energy relative to the lowest polymorph listed for this composition is 170 meV per atom. The calculation puts the spin magnetization at 0.00 μB per cell. For the total energy, the calculation gives -9.584 eV per atom.

---

No. 7
Crystalline GdScRe at its relaxed geometry, computed with PBE.

Geometry as POSCAR:
```
GdScRe
1.0
0.000 3.270 3.270
3.270 0.000 3.270
3.270 3.270 0.000
Gd Sc Re
1 1 1
Direct
0.000 0.000 0.000 Gd
0.250 0.250 0.250 Sc
0.500 0.500 0.500 Re
```

Calculated values
The space group is F-43m (216). The energy relative to the lowest polymorph listed for this composition is 0 meV per atom. The calculation puts the spin magnetization at 0.01 μB per cell. The calculated formation energy comes out at 0.941 eV/atom. For the total energy, the calculation gives -6.861 eV per atom.

---

No. 8
Crystalline Ho2CoNiI2 at its relaxed geometry, computed with PBE.

Geometry as POSCAR:
```
Ho2CoNiI2
1.0
4.002 0.000 0.000
-2.001 3.466 0.000
0.000 0.000 11.782
Ho Co Ni I
2 1 1 2
Direct
0.000 0.000 0.000 Ho
0.000 0.000 0.305 Ho
0.667 0.333 0.150 Co
0.333 0.667 0.157 Ni
0.333 0.667 0.818 I
0.667 0.333 0.486 I
```

Calculated values
The space group is P3m1 (156). The calculation puts the spin magnetization at 0.30 μB per cell. For the total energy, the calculation gives -4.985 eV per atom.

---

No. 9
Crystalline K2In4CuAu at its relaxed geometry, computed with PBE.

Geometry as POSCAR:
```
K2In4CuAu
1.0
8.052 0.000 0.000
0.000 2.345 5.749
0.000 -2.345 5.749
K In Cu Au
2 4 1 1
Direct
0.000 0.000 0.000 K
0.500 0.106 0.106 K
0.188 0.708 0.708 In
0.297 0.393 0.393 In
0.703 0.393 0.393 In
0.812 0.708 0.708 In
0.000 0.277 0.277 Cu
0.500 0.827 0.827 Au
```

Calculated values
The space group is Amm2 (38). For the total energy, the calculation gives -2.662 eV per atom.

---

No. 10
Crystalline Y3HgC at its relaxed geometry, computed with PBE.

Geometry as POSCAR:
```
Y3HgC
1.0
6.978 0.000 0.000
0.000 9.712 0.000
0.000 0.000 6.935
Y Hg C
12 4 4
Direct
0.002 0.250 0.073 Y
0.246 0.036 0.746 Y
0.246 0.464 0.746 Y
0.254 0.536 0.246 Y
0.254 0.964 0.246 Y
0.498 0.750 0.573 Y
0.502 0.250 0.427 Y
0.746 0.036 0.754 Y
0.746 0.464 0.754 Y
0.754 0.536 0.254 Y
0.754 0.964 0.254 Y
0.998 0.750 0.927 Y
0.005 0.750 0.491 Hg
0.495 0.250 0.991 Hg
0.505 0.750 0.009 Hg
0.995 0.250 0.509 Hg
0.000 0.000 0.000 C
0.000 0.500 0.000 C
0.500 0.000 0.500 C
0.500 0.500 0.500 C
```

Calculated values
The space group is Pnma (62). The energy relative to the lowest polymorph listed for this composition is 0 meV per atom. The calculation puts the spin magnetization at 0.01 μB per cell. For the total energy, the calculation gives -6.214 eV per atom.

---

No. 11
Crystalline LiLaPt at its relaxed geometry, computed with PBE.

Geometry as POSCAR:
```
LiLaPt
1.0
0.000 3.377 3.377
3.377 0.000 3.377
3.377 3.377 0.000
Li La Pt
1 1 1
Direct
0.000 0.000 0.000 Li
0.500 0.500 0.500 La
0.750 0.750 0.750 Pt
```

Calculated values
The space group is F-43m (216). The energy relative to the lowest polymorph listed for this composition is 170 meV per atom. The calculation puts the spin magnetization at 0.00 μB per cell. For the total energy, the calculation gives -4.970 eV per atom.

---

No. 12
Crystalline Cs2RbCuCl6 at its relaxed geometry, computed with PBE.

Geometry as POSCAR:
```
Cs2RbCuCl6
1.0
0.000 5.404 5.404
5.404 0.000 5.404
5.404 5.404 0.000
Cs Rb Cu Cl
2 1 1 6
Direct
0.250 0.250 0.250 Cs
0.750 0.750 0.750 Cs
0.000 0.000 0.000 Rb
0.500 0.500 0.500 Cu
0.281 0.281 0.719 Cl
0.281 0.719 0.281 Cl
0.281 0.719 0.719 Cl
0.719 0.281 0.281 Cl
0.719 0.281 0.719 Cl
0.719 0.719 0.281 Cl
```

Calculated values
The space group is Fm-3m (225). For the total energy, the calculation gives -3.021 eV per atom.